Below is a relaxed structure of LaSb3I, with properties calculated at the PBE level.

**Calculated total energy**: -0.2469 Ry/atom
**SG**: No. 221
**Volume**: 185.3 Å³ per cell
**Formation energy without anion corrections**: 0.41 eV/atom
**E above lowest polymorph**: 0 meV/atom

a b c (Å): 5.7014 5.7014 5.7014
angles (deg): 90.00 90.00 90.00
With the nearest neighbours (Å) after each atom.
Positions (direct):
La 0.0000 0.0000 0.0000  12 Sb 4.03
Sb 0.0000 0.5000 0.5000  2 I 2.85
Sb 0.5000 0.0000 0.5000  2 I 2.85
Sb 0.5000 0.5000 0.0000  2 I 2.85
I 0.5000 0.5000 0.5000  6 Sb 2.85